# 1
First-principles (PBE) data for a relaxed SrDyTcO6 crystal, as listed in the Alexandria database.

Cell: 5.5548 5.5548 5.2444 Å, 90.00 90.00 120.00°
With the nearest neighbours (Å) after each atom.
Fractional positions:
Sr 0.0000 0.0000 0.0000  6 O 2.57
Dy 0.3333 0.6667 0.5000  6 O 2.24
Tc 0.6667 0.3333 0.5000  6 O 1.91
O 0.3908 0.0449 0.7073  1 Tc 1.91
O 0.3908 0.3459 0.2927  1 Tc 1.91
O 0.6541 0.0449 0.2927  1 Tc 1.91
O 0.6541 0.6092 0.7073  1 Tc 1.91
O 0.9551 0.3459 0.7073  1 Tc 1.91
O 0.9551 0.6092 0.2927  1 Tc 1.91

Computed properties:
- SG: P312
- Total moment: 0.00 μB per formula unit
- Total DFT energy (no corrections): -7.442 eV per atom

# 2
First-principles (PBE) data for a relaxed BAs2RhCl crystal, as listed in the Alexandria database.

Cell: 4.9342 4.9342 4.0208 Å, 90.00 90.00 90.00°
With the nearest neighbours (Å) after each atom.
Fractional positions:
B 0.0000 0.0000 0.0000  2 Rh 2.01
As 0.0000 0.5000 0.5000  2 Rh 2.47
As 0.5000 0.0000 0.5000  2 Rh 2.47
Rh 0.0000 0.0000 0.5000  2 B 2.01
Cl 0.5000 0.5000 0.0000  8 As 3.18, 4 B 3.49

Computed properties:
- SG: P4/mmm
- Total moment: 0.00 μB per formula unit
- Total DFT energy (no corrections): -4.471 eV per atom
- Fermi-level density of states: 4.74 states/eV/f.u.